24
Lattice="4.445 0.000 0.000 0.000 13.554 0.000 0.000 0.000 13.195" Properties=species:S:1:pos:R:3 comment="Ba3CuSi2 (PBE, relaxed)" magnetic_moment_mub_per_cell=0.0 sg=Pnma e_form_raw_mev_per_atom=-231 pbc="T T T"
Ba 1.111 5.079 0.903
Ba 3.334 8.476 12.292
Ba 3.334 11.856 5.695
Ba 1.111 1.698 7.500
Ba 1.111 9.441 2.577
Ba 3.334 4.113 10.617
Ba 3.334 2.664 4.020
Ba 1.111 10.890 9.175
Ba 1.111 6.006 5.088
Ba 3.334 7.548 8.107
Ba 3.334 12.783 1.510
Ba 1.111 0.771 11.685
Cu 1.111 1.758 1.771
Cu 3.334 11.797 11.424
Cu 3.334 8.535 4.827
Cu 1.111 5.020 8.368
Si 1.111 9.231 5.892
Si 3.334 4.324 7.303
Si 3.334 2.453 0.706
Si 1.111 11.101 12.489
Si 1.111 0.280 3.849
Si 3.334 13.274 9.345
Si 3.334 7.057 2.748
Si 1.111 6.497 10.447